[1]
# Ac2Sn2Ir3 (PBE, relaxed)
data_Ac2Sn2Ir3
_cell_length_a 8.9624
_cell_length_b 8.9624
_cell_length_c 8.9624
_cell_angle_alpha 90.00
_cell_angle_beta 90.00
_cell_angle_gamma 90.00
_space_group_name_H-M_alt 'I 21 3'
_space_group_IT_number 199
_space_group_name_Hall 'I 2b 2c 3'
loop_
_atom_site_label
_atom_site_type_symbol
_atom_site_fract_x
_atom_site_fract_y
_atom_site_fract_z
Ac1 Ac 0.0020 0.0020 0.0020
Sn1 Sn 0.2114 0.2886 0.7114
Ir1 Ir 0.0000 0.2500 0.2248
# Spin magnetization = 0.00 μB/cell
# VASP energy = -184.81 eV per cell
# Formation energy from the elements = -0.485 eV/atom

***

[2]
# AcSnIr (PBE, relaxed)
data_AcSnIr
_cell_length_a 6.9682
_cell_length_b 6.9682
_cell_length_c 6.9682
_cell_angle_alpha 90.00
_cell_angle_beta 90.00
_cell_angle_gamma 90.00
_space_group_name_H-M_alt 'F -4 3 m'
_space_group_IT_number 216
_space_group_name_Hall 'F -4 2 3'
loop_
_atom_site_label
_atom_site_type_symbol
_atom_site_fract_x
_atom_site_fract_y
_atom_site_fract_z
Ac1 Ac 0.0000 0.0000 0.0000
Sn1 Sn 0.0000 0.0000 0.5000
Ir1 Ir 0.2500 0.2500 0.2500
# Spin magnetization = 0.00 μB/cell
# VASP energy = -73.69 eV per cell
# Formation energy from the elements = -0.484 eV/atom

***

Copy entry 1 word for word.
# Ac2Sn2Ir3 (PBE, relaxed)
data_Ac2Sn2Ir3
_cell_length_a 8.9624
_cell_length_b 8.9624
_cell_length_c 8.9624
_cell_angle_alpha 90.00
_cell_angle_beta 90.00
_cell_angle_gamma 90.00
_space_group_name_H-M_alt 'I 21 3'
_space_group_IT_number 199
_space_group_name_Hall 'I 2b 2c 3'
loop_
_atom_site_label
_atom_site_type_symbol
_atom_site_fract_x
_atom_site_fract_y
_atom_site_fract_z
Ac1 Ac 0.0020 0.0020 0.0020
Sn1 Sn 0.2114 0.2886 0.7114
Ir1 Ir 0.0000 0.2500 0.2248
# Spin magnetization = 0.00 μB/cell
# VASP energy = -184.81 eV per cell
# Formation energy from the elements = -0.485 eV/atom